# 1
DFT (PBE-GGA) results for a geometry-optimized NaFeBr5 structure.

```
NaFeBr5
1.0
6.470 -0.345 -3.094
-1.305 7.534 -2.809
-0.279 -0.095 10.720
Br Na Fe
10 2 2
Direct
0.847 0.345 0.121 Br
0.125 0.167 0.850 Br
0.412 0.120 0.256 Br
0.153 0.655 0.879 Br
0.163 0.739 0.499 Br
0.837 0.261 0.501 Br
0.427 0.353 0.681 Br
0.875 0.833 0.150 Br
0.588 0.880 0.744 Br
0.573 0.647 0.319 Br
0.500 0.000 0.500 Na
0.500 0.000 0.000 Na
0.156 0.364 0.742 Fe
0.844 0.636 0.258 Fe
```

Calculated values
Crystal system   triclinic
DFT total energy   -3.240 eV per atom
Energy relative to the elements, uncorrected   -4.54 eV/f.u.
Calculated density   3.122 g cm⁻³

# 2
DFT (PBE-GGA) results for a geometry-optimized NaFeBr2 structure.

```
NaFeBr2
1.0
0.000 3.496 3.496
3.496 0.000 3.496
3.496 3.496 0.000
Br Na Fe
2 1 1
Direct
0.750 0.750 0.750 Br
0.250 0.250 0.250 Br
0.000 0.000 0.000 Na
0.500 0.500 0.500 Fe
```

Calculated values
Crystal system   cubic
DFT total energy   -3.569 eV per atom
Energy above the lowest structure with this stoichiometry   217.4 meV/atom
Energy relative to the elements, uncorrected   -1.15 eV/f.u.
Calculated density   4.637 g cm⁻³

# 3
DFT (PBE-GGA) results for a geometry-optimized NaFeBr2 structure.

```
NaFeBr2
1.0
2.130 0.000 8.608
-1.065 1.845 8.608
-1.065 -1.845 8.608
Fe Br Na
1 2 1
Direct
0.500 0.500 0.500 Fe
0.116 0.116 0.116 Br
0.884 0.884 0.884 Br
0.000 0.000 0.000 Na
```

Calculated values
Crystal system   trigonal
DFT total energy   -3.366 eV per atom
Energy above the lowest structure with this stoichiometry   420.0 meV/atom
Energy relative to the elements, uncorrected   -0.34 eV/f.u.
Calculated density   3.906 g cm⁻³

# 4
DFT (PBE-GGA) results for a geometry-optimized Na2FeBr6 structure.

```
Na2FeBr6
1.0
-3.648 -1.146 -5.385
5.490 -1.243 -3.454
-0.781 -12.044 3.093
Br Fe Na
12 2 4
Direct
0.682 0.682 0.359 Br
0.818 0.182 0.141 Br
0.318 0.318 0.641 Br
0.318 0.318 0.359 Br
0.260 0.260 0.000 Br
0.182 0.818 0.141 Br
0.760 0.240 0.500 Br
0.240 0.760 0.500 Br
0.182 0.818 0.859 Br
0.818 0.182 0.859 Br
0.682 0.682 0.641 Br
0.740 0.740 0.000 Br
0.500 0.500 0.500 Fe
0.000 0.000 0.000 Fe
0.000 0.000 0.333 Na
0.000 0.000 0.667 Na
0.500 0.500 0.833 Na
0.500 0.500 0.167 Na
```

Calculated values
Crystal system   tetragonal
DFT total energy   -3.110 eV per atom
Energy above the lowest structure with this stoichiometry   72.0 meV/atom
Energy relative to the elements, uncorrected   -6.86 eV/f.u.
Calculated density   3.552 g cm⁻³

# 5
DFT (PBE-GGA) results for a geometry-optimized NaFe2Br6 structure.

```
NaFe2Br6
1.0
-0.546 1.307 6.837
-6.425 -6.562 2.180
6.434 -6.156 3.129
Na Fe Br
2 4 12
Direct
0.250 0.114 0.886 Na
0.750 0.886 0.114 Na
0.289 0.217 0.379 Fe
0.789 0.379 0.217 Fe
0.711 0.783 0.621 Fe
0.211 0.621 0.783 Fe
0.352 0.043 0.200 Br
0.382 0.404 0.856 Br
0.401 0.715 0.567 Br
0.882 0.856 0.404 Br
0.118 0.144 0.596 Br
0.852 0.200 0.043 Br
0.148 0.800 0.957 Br
0.618 0.596 0.144 Br
0.901 0.567 0.715 Br
0.648 0.957 0.800 Br
0.599 0.285 0.433 Br
0.099 0.433 0.285 Br
```

Calculated values
Crystal system   monoclinic
DFT total energy   -3.837 eV per atom
Energy relative to the elements, uncorrected   -6.25 eV/f.u.
Calculated density   3.357 g cm⁻³

# 6
DFT (PBE-GGA) results for a geometry-optimized NaFeBr2 structure.

```
NaFeBr2
1.0
6.154 0.000 0.000
0.000 6.154 0.000
3.077 3.077 6.228
Na Br Fe
2 4 2
Direct
0.250 0.750 0.500 Na
0.500 0.500 0.000 Na
0.073 0.625 0.250 Br
0.375 0.323 0.750 Br
0.875 0.927 0.750 Br
0.677 0.125 0.250 Br
0.000 0.000 0.000 Fe
0.750 0.250 0.500 Fe
```

Calculated values
Crystal system   tetragonal
DFT total energy   -3.786 eV per atom
Energy above the lowest structure with this stoichiometry   0.0 meV/atom
Energy relative to the elements, uncorrected   -2.02 eV/f.u.
Calculated density   3.361 g cm⁻³

# 7
DFT (PBE-GGA) results for a geometry-optimized NaFeBr4 structure.

```
NaFeBr4
1.0
7.741 0.000 0.000
0.000 7.717 0.000
0.000 0.000 13.944
Br Na Fe
16 4 4
Direct
0.131 0.250 0.036 Br
0.096 0.750 0.550 Br
0.869 0.750 0.964 Br
0.246 0.495 0.801 Br
0.254 0.005 0.301 Br
0.246 0.005 0.801 Br
0.746 0.995 0.699 Br
0.904 0.250 0.450 Br
0.754 0.505 0.199 Br
0.404 0.750 0.050 Br
0.631 0.750 0.464 Br
0.596 0.250 0.950 Br
0.369 0.250 0.536 Br
0.754 0.995 0.199 Br
0.746 0.505 0.699 Br
0.254 0.495 0.301 Br
0.549 0.750 0.843 Na
0.451 0.250 0.157 Na
0.049 0.250 0.657 Na
0.951 0.750 0.343 Na
0.807 0.750 0.601 Fe
0.307 0.250 0.899 Fe
0.193 0.250 0.399 Fe
0.693 0.750 0.101 Fe
```

Calculated values
Crystal system   orthorhombic
DFT total energy   -3.594 eV per atom
Energy above the lowest structure with this stoichiometry   0.0 meV/atom
Energy relative to the elements, uncorrected   -5.09 eV/f.u.
Calculated density   3.177 g cm⁻³

# 8
DFT (PBE-GGA) results for a geometry-optimized Na2FeBr6 structure.

```
Na2FeBr6
1.0
5.766 0.680 -1.085
-3.186 9.860 -3.943
0.887 -0.808 11.022
Br Na Fe
12 4 2
Direct
0.937 0.439 0.290 Br
0.563 0.710 0.561 Br
0.882 0.771 0.980 Br
0.618 0.020 0.229 Br
0.382 0.980 0.771 Br
0.437 0.290 0.439 Br
0.053 0.851 0.353 Br
0.118 0.229 0.020 Br
0.063 0.561 0.710 Br
0.447 0.647 0.149 Br
0.947 0.149 0.647 Br
0.553 0.353 0.851 Br
0.445 0.457 0.291 Na
0.945 0.291 0.457 Na
0.055 0.709 0.543 Na
0.555 0.543 0.709 Na
0.250 0.182 0.818 Fe
0.750 0.818 0.182 Fe
```

Calculated values
Crystal system   monoclinic
DFT total energy   -3.182 eV per atom
Energy above the lowest structure with this stoichiometry   0.0 meV/atom
Energy relative to the elements, uncorrected   -7.50 eV/f.u.
Calculated density   3.033 g cm⁻³

# 9
DFT (PBE-GGA) results for a geometry-optimized NaFeBr6 structure.

```
NaFeBr6
1.0
-1.808 -5.596 -3.135
4.334 -5.052 -0.562
-1.133 -5.822 4.013
Fe Br Na
1 6 1
Direct
0.000 0.000 0.000 Fe
0.194 0.976 0.228 Br
0.023 0.396 0.771 Br
0.605 0.191 0.229 Br
0.806 0.024 0.772 Br
0.395 0.809 0.771 Br
0.977 0.604 0.229 Br
0.500 0.500 0.500 Na
```

Calculated values
Crystal system   triclinic
DFT total energy   -2.944 eV per atom
Energy relative to the elements, uncorrected   -3.74 eV/f.u.
Calculated density   3.972 g cm⁻³

# 10
DFT (PBE-GGA) results for a geometry-optimized NaFeBr4 structure.

```
NaFeBr4
1.0
5.382 0.000 0.000
-2.691 10.284 0.285
0.000 -2.747 7.679
Br Na Fe
8 2 2
Direct
0.864 0.728 0.018 Br
0.595 0.190 0.642 Br
0.405 0.810 0.358 Br
0.206 0.411 0.608 Br
0.968 0.935 0.669 Br
0.032 0.065 0.331 Br
0.136 0.272 0.982 Br
0.794 0.589 0.392 Br
0.745 0.490 0.708 Na
0.255 0.510 0.292 Na
0.088 0.176 0.674 Fe
0.912 0.824 0.326 Fe
```

Calculated values
Crystal system   monoclinic
DFT total energy   -3.463 eV per atom
Energy above the lowest structure with this stoichiometry   131.2 meV/atom
Energy relative to the elements, uncorrected   -4.30 eV/f.u.
Calculated density   3.083 g cm⁻³

The highest DFT total energy belongs to which entry? NaFeBr6